Here is an optimized crystal structure of YHo3Te6 from the Alexandria database. Energies are from PBE-GGA.

Summary:
Raw formation energy (kJ per mole of atoms): -131.85
Energy above the lowest structure with this stoichiometry (eV/atom): 0.000

Unit cell a=12.4440 b=4.3398 c=12.7653 alpha=90.00 beta=109.37 gamma=90.00
Space group P2_1/m (No. 11)
Unique sites:
Y 0.0441 0.2500 0.1942 x2
Ho 0.1557 0.2500 0.5800 x2
Ho 0.3163 0.7500 0.9978 x2
Ho 0.4312 0.2500 0.3338 x2
Te 0.0836 0.7500 0.3995 x2
Te 0.1110 0.2500 0.9675 x2
Te 0.1917 0.7500 0.7504 x2
Te 0.2523 0.7500 0.2199 x2
Te 0.3930 0.2500 0.5619 x2
Te 0.4829 0.2500 0.1178 x2